1.
{
  "formula": "Ba3NpAg2S6",
  "functional": "GGA-PBE",
  "state": "optimized geometry",
  "dos_at_fermi_per_ev_atom": 0.80,
  "raw_formation_energy_mev_per_atom": -1196,
  "lattice": [[7.369, 0.000, 0.000], [-3.685, 6.382, 0.000], [0.000, 0.000, 7.898]],
  "species": ["Ag", "Ag", "Np", "S", "S", "S", "S", "S", "S", "Ba", "Ba", "Ba"],
  "fractional_positions": [[0.667, 0.333, 0.862], [0.333, 0.667, 0.138], [0.000, 0.000, 0.500], [0.836, 0.671, 0.699], [0.164, 0.836, 0.301], [0.671, 0.836, 0.301], [0.164, 0.329, 0.301], [0.836, 0.164, 0.699], [0.329, 0.164, 0.699], [0.667, 0.333, 0.392], [0.000, 0.000, 0.000], [0.333, 0.667, 0.608]]
}

=====

2.
{
  "formula": "TlSbIr2",
  "functional": "GGA-PBE",
  "state": "optimized geometry",
  "dos_at_fermi_per_ev_atom": 0.53,
  "polymorph_energy_ev_per_atom": 0.179,
  "raw_formation_energy_mev_per_atom": 495,
  "lattice": [[-1.897, -3.527, 3.935], [2.336, -5.054, 0.718], [1.556, 5.371, -0.502]],
  "species": ["Ir", "Ir", "Tl", "Sb"],
  "fractional_positions": [[0.250, 0.750, 0.500], [0.000, 0.000, 0.000], [0.750, 0.250, 0.500], [0.500, 0.500, 0.000]]
}

=====

3.
{
  "formula": "PuTl2Br4",
  "functional": "GGA-PBE",
  "state": "optimized geometry",
  "dos_at_fermi_per_ev_atom": 2.08,
  "polymorph_energy_ev_per_atom": 0.000,
  "raw_formation_energy_mev_per_atom": -1085,
  "lattice": [[4.379, 0.000, -1.198], [-1.342, 7.745, -4.904], [-0.037, -1.703, 8.466]],
  "species": ["Br", "Br", "Br", "Br", "Pu", "Tl", "Tl"],
  "fractional_positions": [[0.915, 0.192, 0.830], [0.085, 0.808, 0.170], [0.343, 0.736, 0.686], [0.657, 0.264, 0.314], [0.000, 0.000, 0.000], [0.659, 0.660, 0.318], [0.341, 0.340, 0.682]]
}

=====

4.
{
  "formula": "CsSm2AuSe4",
  "functional": "GGA-PBE",
  "state": "optimized geometry",
  "raw_formation_energy_mev_per_atom": -1442,
  "lattice": [[4.298, 0.000, 0.000], [-2.149, 7.476, 0.000], [0.000, 0.000, 14.954]],
  "species": ["Se", "Se", "Se", "Se", "Se", "Se", "Se", "Se", "Sm", "Sm", "Sm", "Sm", "Cs", "Cs", "Au", "Au"],
  "fractional_positions": [[0.000, 0.000, 0.500], [0.257, 0.514, 0.101], [0.257, 0.514, 0.399], [0.559, 0.119, 0.250], [0.743, 0.486, 0.899], [0.441, 0.881, 0.750], [0.743, 0.486, 0.601], [0.000, 0.000, 0.000], [0.370, 0.739, 0.933], [0.630, 0.261, 0.067], [0.630, 0.261, 0.433], [0.370, 0.739, 0.567], [0.119, 0.238, 0.750], [0.881, 0.762, 0.250], [0.841, 0.682, 0.750], [0.159, 0.318, 0.250]]
}

=====

5.
{
  "formula": "CsCaH2SeF",
  "functional": "GGA-PBE",
  "state": "optimized geometry",
  "dos_at_fermi_per_ev_atom": 0.00,
  "polymorph_energy_ev_per_atom": 0.039,
  "lattice": [[7.539, 0.000, 0.020], [0.000, 5.065, 0.000], [-1.932, 0.000, 7.904]],
  "species": ["Cs", "Cs", "H", "H", "H", "H", "Se", "Se", "F", "F", "Ca", "Ca"],
  "fractional_positions": [[0.375, 0.000, 0.386], [0.375, 0.500, 0.886], [0.163, 0.500, 0.436], [0.163, 0.000, 0.936], [0.122, 0.000, 0.014], [0.122, 0.500, 0.514], [0.863, 0.500, 0.698], [0.863, 0.000, 0.198], [0.493, 0.500, 0.260], [0.493, 0.000, 0.760], [0.788, 0.500, 0.335], [0.788, 0.000, 0.835]]
}

=====

6.
{
  "formula": "Sr2UPaN5",
  "functional": "GGA-PBE",
  "state": "optimized geometry",
  "raw_formation_energy_mev_per_atom": -1171,
  "lattice": [[-3.757, 0.806, -1.473], [-1.656, -2.384, 2.917], [-0.613, 7.077, 5.435]],
  "species": ["N", "N", "N", "N", "N", "Pa", "Sr", "Sr", "U"],
  "fractional_positions": [[0.000, 0.000, 0.229], [0.000, 0.000, 0.771], [0.500, 0.500, 0.000], [0.000, 0.500, 0.500], [0.500, 0.000, 0.500], [0.000, 0.000, 0.000], [0.500, 0.500, 0.277], [0.500, 0.500, 0.723], [0.000, 0.000, 0.500]]
}